! Sr2BiSb | Alexandria | PBE | relaxed; values from VASP
&SYSTEM
  ibrav = 0, nat = 8, ntyp = 3
/
ATOMIC_SPECIES
Sr 87.62 Sr.upf
Bi 208.98 Bi.upf
Sb 121.76 Sb.upf
CELL_PARAMETERS angstrom
6.7988 0.0000 0.0000
0.0000 4.7509 0.0000
-3.3117 0.0000 9.0216
ATOMIC_POSITIONS crystal
Sr 0.1854 0.2500 0.4297
Sr 0.2963 0.7500 0.0611
Sr 0.7037 0.2500 0.9389
Sr 0.8146 0.7500 0.5703
Bi 0.3963 0.7500 0.7006
Bi 0.6037 0.2500 0.2994
Sb 0.1066 0.2500 0.7985
Sb 0.8934 0.7500 0.2015
! DOS(E_F): 6.65 states/eV/cell
! ΔE_f (raw): -0.7587 eV per atom
! V: 36.4 Å³ per atom
! Polymorph energy (0 for the lowest one): 0.042 eV per atom